No. 1
Ta2HgCl | GGA-PBE | optimized geometry

Output
symmetry	I4/mmm (139)
crystal system	tetragonal

Cell lengths 5.544, 5.544, 5.544 Å; angles 136.96, 136.96, 62.50 degrees
Fractional coordinates of all 4 atoms:
Ta 0.250 0.750 0.500
Ta 0.750 0.250 0.500
Hg 0.000 0.000 0.000
Cl 0.500 0.500 0.000

No. 2
Ta2HgCl | GGA-PBE | optimized geometry

Output
symmetry	Cmm2 (35)
crystal system	orthorhombic

Cell lengths 2.965, 2.965, 10.437 Å; angles 90.00, 90.00, 106.69 degrees
Fractional coordinates of all 4 atoms:
Ta 0.000 0.000 0.000
Ta 0.500 0.500 0.207
Hg 0.000 0.000 0.438
Cl 0.500 0.500 0.819

No. 3
Ta2HgCl | GGA-PBE | optimized geometry

Output
symmetry	C2/m (12)
crystal system	monoclinic

Cell lengths 5.687, 5.687, 5.397 Å; angles 118.18, 118.18, 29.78 degrees
Fractional coordinates of all 4 atoms:
Ta 0.223 0.223 0.224
Ta 0.777 0.777 0.776
Hg 0.000 0.000 0.500
Cl 0.500 0.500 0.000

No. 4
Ta2HgCl | GGA-PBE | optimized geometry

Output
symmetry	P4mm (99)
crystal system	tetragonal

Cell lengths 2.924, 2.924, 10.208 Å; angles 90.00, 90.00, 90.00 degrees
Fractional coordinates of all 4 atoms:
Ta 0.000 0.000 0.000
Ta 0.500 0.500 0.215
Hg 0.500 0.500 0.771
Cl 0.000 0.000 0.383

No. 5
Ta2HgCl | GGA-PBE | optimized geometry

Output
symmetry	Pmmm (47)
crystal system	orthorhombic

Cell lengths 2.979, 4.979, 5.278 Å; angles 90.00, 90.00, 90.00 degrees
Fractional coordinates of all 4 atoms:
Ta 0.000 0.000 0.000
Ta 0.500 0.000 0.500
Hg 0.000 0.500 0.500
Cl 0.500 0.500 0.000

No. 6
Ta2HgCl | GGA-PBE | optimized geometry

Output
symmetry	Cm (8)
crystal system	monoclinic

Cell lengths 5.878, 5.878, 5.182 Å; angles 104.54, 104.54, 29.86 degrees
Fractional coordinates of all 4 atoms:
Ta 0.000 0.000 0.000
Ta 0.697 0.697 0.063
Hg 0.531 0.531 0.498
Cl 0.304 0.304 0.778

No. 7
Ta2HgCl | GGA-PBE | optimized geometry

Output
symmetry	I-42d (122)
crystal system	tetragonal

Cell lengths 10.355, 10.355, 10.355 Å; angles 157.26, 157.26, 32.37 degrees
Fractional coordinates of all 8 atoms:
Ta 0.117 0.625 0.992
Ta 0.375 0.367 0.492
Ta 0.633 0.125 0.008
Ta 0.875 0.883 0.508
Hg 0.000 0.000 0.000
Hg 0.750 0.250 0.500
Cl 0.250 0.750 0.500
Cl 0.500 0.500 0.000

No. 8
Ta2HgCl | GGA-PBE | optimized geometry

Output
symmetry	Pmm2 (25)
crystal system	orthorhombic

Cell lengths 2.930, 4.091, 6.688 Å; angles 90.00, 90.00, 90.00 degrees
Fractional coordinates of all 4 atoms:
Ta 0.000 0.000 0.000
Ta 0.500 0.500 0.232
Hg 0.500 0.500 0.743
Cl 0.000 0.000 0.381

Record order is preserved below.
Formation energy (no corrections): 0.897, -0.024, 0.380, 0.022, 0.545, 0.385, 0.716, 0.367 eV per atom